# 1
This record from the Alexandria database describes crystalline TiHgMo3 at its relaxed geometry. The functional is GGA-PBE.

Unit cell a=4.8984 b=4.8984 c=4.8984 alpha=90.00 beta=90.00 gamma=90.00
Space group Pm-3m (No. 221)
Symmetry-distinct sites (fractional):
Ti  0.0000  0.0000  0.0000 x1
Hg  0.5000  0.5000  0.5000 x1
Mo  0.0000  0.5000  0.5000 x3

Output
- crystal system = cubic
- raw total energy (hartree per atom) = -0.206
- energy relative to the lowest polymorph listed for this composition (meV per atom) = 1127
- theoretical density (g cm⁻³) = 7.6
- size of the total moment (μB per cell) = 0.0

***

# 2
This record from the Alexandria database describes crystalline TiHgMo3 at its relaxed geometry. The functional is GGA-PBE.

Unit cell a=4.5886 b=4.5886 c=4.5886 alpha=90.00 beta=90.00 gamma=90.00
Space group Pm-3m (No. 221)
Symmetry-distinct sites (fractional):
Ti  0.0000  0.0000  0.0000 x1
Hg  0.5000  0.5000  0.5000 x1
Mo  0.0000  0.0000  0.5000 x3

Output
- crystal system = cubic
- raw total energy (hartree per atom) = -0.248
- energy relative to the lowest polymorph listed for this composition (meV per atom) = 0
- theoretical density (g cm⁻³) = 9.2
- size of the total moment (μB per cell) = 0.0

***

# 3
This record from the Alexandria database describes crystalline Ti6HgMo at its relaxed geometry. The functional is GGA-PBE.

Unit cell a=4.6507 b=4.6507 c=22.1697 alpha=90.00 beta=90.00 gamma=120.00
Space group R-3m (No. 166, hexagonal axes)
Symmetry-distinct sites (fractional):
Ti  0.0000  0.0000  0.1172 x6
Ti  0.0000  0.0000  0.2495 x6
Ti  0.0000  0.0000  0.3691 x6
Hg  0.0000  0.0000  0.5000 x3
Mo  0.0000  0.0000  0.0000 x3

Output
- crystal system = trigonal
- raw total energy (hartree per atom) = -0.269
- theoretical density (g cm⁻³) = 7.0
- size of the total moment (μB per cell) = 14.5

***

# 4
This record from the Alexandria database describes crystalline TiHgMo2 at its relaxed geometry. The functional is GGA-PBE.

Unit cell a=3.8519 b=3.8519 c=19.8909 alpha=90.00 beta=90.00 gamma=90.00
Space group I-42d (No. 122)
Symmetry-distinct sites (fractional):
Ti  0.0000  0.0000  0.0000 x4
Hg  0.0000  0.0000  0.5000 x4
Mo  0.2204  0.2500  0.1250 x8

Output
- crystal system = tetragonal
- raw total energy (hartree per atom) = -0.251
- theoretical density (g cm⁻³) = 9.9
- size of the total moment (μB per cell) = 0.0

***

# 5
This record from the Alexandria database describes crystalline Ti4HgMo at its relaxed geometry. The functional is GGA-PBE.

Unit cell a=7.8009 b=4.4918 c=7.4508 alpha=90.00 beta=110.32 gamma=90.00
Space group C2/m (No. 12)
Symmetry-distinct sites (fractional):
Ti  0.1168  0.0000  0.3488 x4
Ti  0.1337  0.5000  0.9012 x4
Hg  0.0000  0.5000  0.5000 x2
Mo  0.0000  0.0000  0.0000 x2

Output
- crystal system = monoclinic
- raw total energy (hartree per atom) = -0.246
- energy relative to the lowest polymorph listed for this composition (meV per atom) = 395
- theoretical density (g cm⁻³) = 6.6
- size of the total moment (μB per cell) = 1.8

***

# 6
This record from the Alexandria database describes crystalline TiHgMo at its relaxed geometry. The functional is GGA-PBE.

Unit cell a=3.1264 b=3.1264 c=23.5227 alpha=90.00 beta=90.00 gamma=90.00
Space group I4/mmm (No. 139)
Symmetry-distinct sites (fractional):
Ti  0.0000  0.0000  0.1479 x4
Hg  0.0000  0.0000  0.4373 x4
Mo  0.0000  0.0000  0.2824 x4

Output
- crystal system = tetragonal
- raw total energy (hartree per atom) = -0.234
- theoretical density (g cm⁻³) = 9.9
- size of the total moment (μB per cell) = 0.0

***

# 7
This record from the Alexandria database describes crystalline Ti7Hg2Mo at its relaxed geometry. The functional is GGA-PBE.

Unit cell a=9.3995 b=9.3995 c=9.3995 alpha=90.00 beta=90.00 gamma=90.00
Space group Fm-3m (No. 225)
Symmetry-distinct sites (fractional):
Ti  0.0000  0.0000  0.0000 x4
Ti  0.0000  0.0000  0.2479 x24
Hg  0.2500  0.2500  0.2500 x8
Mo  0.0000  0.0000  0.5000 x4

Output
- crystal system = cubic
- raw total energy (hartree per atom) = -0.217
- theoretical density (g cm⁻³) = 6.7
- size of the total moment (μB per cell) = 11.6

***

# 8
This record from the Alexandria database describes crystalline Ti5Hg2Mo at its relaxed geometry. The functional is GGA-PBE.

Unit cell a=4.6562 b=4.6562 c=12.9724 alpha=90.00 beta=90.00 gamma=90.00
Space group I4/mmm (No. 139)
Symmetry-distinct sites (fractional):
Ti  0.0000  0.0000  0.0000 x2
Ti  0.0000  0.5000  0.1117 x8
Hg  0.0000  0.0000  0.2480 x4
Mo  0.0000  0.0000  0.5000 x2

Output
- crystal system = tetragonal
- raw total energy (hartree per atom) = -0.237
- theoretical density (g cm⁻³) = 8.7
- size of the total moment (μB per cell) = 0.0

***

# 9
This record from the Alexandria database describes crystalline Ti4HgMo at its relaxed geometry. The functional is GGA-PBE.

Unit cell a=9.6988 b=4.4508 c=5.8436 alpha=90.00 beta=124.52 gamma=90.00
Space group C2/m (No. 12)
Symmetry-distinct sites (fractional):
Ti  0.1467  0.0000  0.2990 x4
Ti  0.1897  0.0000  0.8444 x4
Hg  0.0000  0.5000  0.5000 x2
Mo  0.0000  0.5000  0.0000 x2

Output
- crystal system = monoclinic
- raw total energy (hartree per atom) = -0.261
- energy relative to the lowest polymorph listed for this composition (meV per atom) = 0
- theoretical density (g cm⁻³) = 7.8
- size of the total moment (μB per cell) = 3.0

***

# 10
This record from the Alexandria database describes crystalline Tl3HgMo at its relaxed geometry. The functional is GGA-PBE.

Unit cell a=5.4505 b=5.4505 c=5.4505 alpha=90.00 beta=90.00 gamma=90.00
Space group Pm-3m (No. 221)
Symmetry-distinct sites (fractional):
Tl  0.0000  0.0000  0.5000 x3
Hg  0.5000  0.5000  0.5000 x1
Mo  0.0000  0.0000  0.0000 x1

Output
- crystal system = cubic
- raw total energy (hartree per atom) = -0.113
- energy relative to the lowest polymorph listed for this composition (meV per atom) = 0
- theoretical density (g cm⁻³) = 9.3
- size of the total moment (μB per cell) = 0.0

***

# 11
This record from the Alexandria database describes crystalline TlHgMo2 at its relaxed geometry. The functional is GGA-PBE.

Unit cell a=3.3841 b=4.6792 c=9.5224 alpha=90.00 beta=90.00 gamma=90.00
Space group Immm (No. 71)
Symmetry-distinct sites (fractional):
Tl  0.0000  0.0000  0.0000 x2
Hg  0.0000  0.0000  0.5000 x2
Mo  0.0000  0.5000  0.2508 x4

Output
- crystal system = orthorhombic
- raw total energy (hartree per atom) = -0.195
- energy relative to the lowest polymorph listed for this composition (meV per atom) = 315
- theoretical density (g cm⁻³) = 13.1
- size of the total moment (μB per cell) = 0.0

***

# 12
This record from the Alexandria database describes crystalline TlHgMo2 at its relaxed geometry. The functional is GGA-PBE.

Unit cell a=3.0258 b=4.4291 c=5.7332 alpha=90.00 beta=90.00 gamma=90.00
Space group Pmmm (No. 47)
Symmetry-distinct sites (fractional):
Tl  0.0000  0.0000  0.0000 x1
Hg  0.0000  0.0000  0.5000 x1
Mo  0.5000  0.5000  0.2151 x2

Output
- crystal system = orthorhombic
- raw total energy (hartree per atom) = -0.193
- energy relative to the lowest polymorph listed for this composition (meV per atom) = 362
- theoretical density (g cm⁻³) = 12.9
- size of the total moment (μB per cell) = 0.0

***

# 13
This record from the Alexandria database describes crystalline TlHgMo at its relaxed geometry. The functional is GGA-PBE.

Unit cell a=3.4405 b=4.9627 c=14.8741 alpha=90.00 beta=90.00 gamma=90.00
Space group Fmm2 (No. 42)
Symmetry-distinct sites (fractional):
Tl  0.0000  0.0000  0.0000 x4
Hg  0.0000  0.0000  0.3147 x4
Mo  0.0000  0.0000  0.6610 x4

Output
- crystal system = orthorhombic
- raw total energy (hartree per atom) = -0.138
- energy relative to the lowest polymorph listed for this composition (meV per atom) = 41
- theoretical density (g cm⁻³) = 13.1
- size of the total moment (μB per cell) = 0.0

***

# 14
This record from the Alexandria database describes crystalline Tl3HgMo at its relaxed geometry. The functional is GGA-PBE.

Unit cell a=5.6833 b=5.6833 c=5.6833 alpha=90.00 beta=90.00 gamma=90.00
Space group Pm-3m (No. 221)
Symmetry-distinct sites (fractional):
Tl  0.0000  0.0000  0.5000 x3
Hg  0.0000  0.0000  0.0000 x1
Mo  0.5000  0.5000  0.5000 x1

Output
- crystal system = cubic
- raw total energy (hartree per atom) = -0.089
- energy relative to the lowest polymorph listed for this composition (meV per atom) = 656
- theoretical density (g cm⁻³) = 8.2
- size of the total moment (μB per cell) = 4.6